Density functional theory data (GGA+U) for an optimized crystal structure of ScV3F.

Unit cell a=5.3269 b=5.3269 c=5.3269 alpha=90.00 beta=90.00 gamma=90.00
Last column: nearest neighbours and their distance in Å.
Element x y z (fractional)
Sc (0.0000, 0.0000, 0.0000)  6 V 2.66
V (0.0000, 0.0000, 0.5000)  2 Sc 2.66
V (0.0000, 0.5000, 0.0000)  2 Sc 2.66
V (0.5000, 0.0000, 0.0000)  2 Sc 2.66
F (0.5000, 0.5000, 0.5000)  12 V 3.77

Computed properties:
Calculated total energy, eV/atom: -4.267
Polymorph energy (0 for the lowest one), eV/atom: 1.473
Total magnetic moment, μB per formula unit: 10.9